[1]
# BaNa2Sb2Pb | Alexandria via LeMat-Bulk | PBE | relaxed
data_BaNa2Sb2Pb
_space_group_name_H-M_alt 'P m c 21'
_space_group_IT_number 26
_cell_length_a 4.9306
_cell_length_b 10.0494
_cell_length_c 8.3605
_cell_angle_alpha 90.00
_cell_angle_beta 90.00
_cell_angle_gamma 90.00
loop_
_space_group_symop_operation_xyz
'x,y,z'
'-x,-y,z+1/2'
'-x,y,z'
'x,-y,z+1/2'
loop_
_atom_site_label
_atom_site_fract_x
_atom_site_fract_y
_atom_site_fract_z
Ba1 0.0000 0.0769 0.0000
Na1 0.0000 0.3286 0.3881
Na2 0.5000 0.4311 0.0715
Sb1 0.0000 0.3757 0.7695
Sb2 0.5000 0.1397 0.2975
Pb1 0.5000 0.2005 0.6688
# calculated density = 5.083 g/cm3
# formation energy from raw total energies = -0.531 eV/atom

---

[2]
# CaLa2Ru | Alexandria via LeMat-Bulk | PBE | relaxed
data_CaLa2Ru
_space_group_name_H-M_alt 'I m m m'
_space_group_IT_number 71
_space_group_name_Hall '-I 2 2'
_cell_length_a 3.8740
_cell_length_b 6.0351
_cell_length_c 10.6052
_cell_angle_alpha 90.00
_cell_angle_beta 90.00
_cell_angle_gamma 90.00
loop_
_atom_site_label
_atom_site_fract_x
_atom_site_fract_y
_atom_site_fract_z
Ca1 0.0000 0.0000 0.0000
La1 0.0000 0.5000 0.1819
Ru1 0.0000 0.0000 0.5000
# polymorph energy (0 for the lowest one) = 0.0731 eV/atom
# calculated density = 5.612 g/cm3

---

[3]
# SmSeCl | Alexandria via LeMat-Bulk | PBE | relaxed
data_SmSeCl
_space_group_name_H-M_alt 'P -1'
_space_group_IT_number 2
_cell_length_a 4.2311
_cell_length_b 7.3620
_cell_length_c 7.8821
_cell_angle_alpha 63.50
_cell_angle_beta 74.92
_cell_angle_gamma 90.00
loop_
_space_group_symop_operation_xyz
'x,y,z'
'-x,-y,-z'
loop_
_atom_site_label
_atom_site_fract_x
_atom_site_fract_y
_atom_site_fract_z
Sm1 0.2425 0.2615 0.0154
Se1 0.3653 0.6903 0.7621
Cl1 0.1534 0.8211 0.1993
# calculated density = 4.183 g/cm3
# formation energy from raw total energies = -1.983 eV/atom

---

[4]
# LaFe2SiC | Alexandria via LeMat-Bulk | PBE | relaxed
data_LaFe2SiC
_space_group_name_H-M_alt 'C m c m'
_space_group_IT_number 63
_space_group_name_Hall '-C 2c 2'
_cell_length_a 4.0053
_cell_length_b 10.6448
_cell_length_c 6.7639
_cell_angle_alpha 90.00
_cell_angle_beta 90.00
_cell_angle_gamma 90.00
loop_
_atom_site_label
_atom_site_fract_x
_atom_site_fract_y
_atom_site_fract_z
La1 0.0000 0.0566 0.2500
Fe1 0.0000 0.3363 0.0664
Si1 0.0000 0.2263 0.7500
C1 0.0000 0.5000 0.0000
# calculated density = 6.695 g/cm3
# formation energy from raw total energies = -0.370 eV/atom

---

- Which value of calculated density does entry 1 give?
  5.083 g/cm3